Record 1
First-principles (PBE) data for an optimized crystal structure of PrMgCu17, as listed in Alexandria via LeMat-Bulk.

Structure (POSCAR):
```
PrMgCu17
1.0
4.268 2.464 4.162
-4.268 2.464 4.162
0.000 -4.929 4.162
Pr Mg Cu
1 1 17
Direct
0.000 0.000 0.000
0.682 0.682 0.682
0.042 0.345 0.636
0.042 0.636 0.345
0.197 0.684 0.684
0.249 0.249 0.249
0.339 0.339 0.843
0.339 0.843 0.339
0.345 0.042 0.636
0.345 0.636 0.042
0.444 0.444 0.444
0.501 0.992 0.992
0.636 0.042 0.345
0.636 0.345 0.042
0.684 0.197 0.684
0.684 0.684 0.197
0.843 0.339 0.339
0.992 0.501 0.992
0.992 0.992 0.501
```

Summary:
Space group: R3m, No. 160
N(E_F): 7.06 states/eV per cell
Uncorrected energy: -76.8 eV per formula unit
Energy relative to the elements: -0.04 eV per atom



Record 2
First-principles (PBE) data for an optimized crystal structure of AcSiGePd6, as listed in Alexandria via LeMat-Bulk.

Structure (POSCAR):
```
AcSiGePd6
1.0
-3.655 4.377 5.753
3.655 -4.377 5.753
3.655 4.377 -5.753
Ac Si Ge Pd
2 2 2 12
Direct
0.409 0.159 0.250
0.591 0.841 0.750
0.000 0.500 0.500
0.500 0.500 0.000
0.000 0.000 0.500
0.000 0.500 0.000
0.109 0.383 0.239
0.109 0.870 0.727
0.142 0.892 0.250
0.327 0.577 0.750
0.357 0.130 0.739
0.357 0.617 0.227
0.643 0.383 0.773
0.643 0.870 0.261
0.673 0.423 0.250
0.858 0.108 0.750
0.891 0.130 0.273
0.891 0.617 0.761
```

Summary:
Space group: Imma, No. 74
N(E_F): 9.09 states/eV per cell
ΔE_f (raw): -409 meV per atom
Uncorrected energy: -49.0 eV per formula unit



Record 3
First-principles (PBE) data for an optimized crystal structure of Ba2Sb4PdAu3, as listed in Alexandria via LeMat-Bulk.

Structure (POSCAR):
```
Ba2Sb4PdAu3
1.0
4.898 0.000 0.000
0.000 4.898 0.000
0.000 0.000 11.217
Ba Sb Pd Au
2 4 1 3
Direct
0.000 0.500 0.241
0.500 0.000 0.759
0.000 0.000 0.500
0.000 0.500 0.880
0.500 0.000 0.120
0.500 0.500 0.500
0.500 0.500 0.000
0.000 0.000 0.000
0.000 0.500 0.635
0.500 0.000 0.365
```

Summary:
Space group: P-4m2, No. 115
N(E_F): 4.67 states/eV per cell
ΔE_f (raw): -642 meV per atom
Uncorrected energy: -41.8 eV per formula unit



Record 4
First-principles (PBE) data for an optimized crystal structure of RbSN2O, as listed in Alexandria via LeMat-Bulk.

Structure (POSCAR):
```
RbSN2O
1.0
3.583 0.000 0.000
0.000 3.583 0.000
0.000 0.000 4.983
Rb S N O
1 1 2 1
Direct
0.000 0.000 0.000
0.500 0.500 0.500
0.000 0.500 0.500
0.500 0.000 0.500
0.500 0.500 0.000
```

Summary:
Space group: P4/mmm, No. 123
N(E_F): 4.54 states/eV per cell
ΔE_f (raw): 1159 meV per atom
Uncorrected energy: -20.9 eV per formula unit



Copy entry 3 word for word.
First-principles (PBE) data for an optimized crystal structure of Ba2Sb4PdAu3, as listed in Alexandria via LeMat-Bulk.

Structure (POSCAR):
```
Ba2Sb4PdAu3
1.0
4.898 0.000 0.000
0.000 4.898 0.000
0.000 0.000 11.217
Ba Sb Pd Au
2 4 1 3
Direct
0.000 0.500 0.241
0.500 0.000 0.759
0.000 0.000 0.500
0.000 0.500 0.880
0.500 0.000 0.120
0.500 0.500 0.500
0.500 0.500 0.000
0.000 0.000 0.000
0.000 0.500 0.635
0.500 0.000 0.365
```

Summary:
Space group: P-4m2, No. 115
N(E_F): 4.67 states/eV per cell
ΔE_f (raw): -642 meV per atom
Uncorrected energy: -41.8 eV per formula unit



uncorrected energy of number 2 (AcSiGePd6)? -49.0 eV per formula unit



What is the N(E_F) in the third record? 4.67 states/eV per cell